*i*
Here is Nb2OsCl2 after structural relaxation from the Alexandria database. Energies are from PBE.

Computed properties:
For the magnetization, the calculation gives 0.0 μB/f.u. The density of states at the Fermi level comes out at 1.208 states/eV/atom. As for the space-group type: P4/mbm, No. 127.

Structure (CIF):
```
data_Nb2OsCl2
_cell_length_a 7.5638
_cell_length_b 7.5638
_cell_length_c 2.8261
_cell_angle_alpha 90.00
_cell_angle_beta 90.00
_cell_angle_gamma 90.00
_space_group_name_H-M_alt 'P 1'
_space_group_IT_number 1
loop_
_space_group_symop_operation_xyz
'x,y,z'
loop_
_atom_site_label
_atom_site_fract_x
_atom_site_fract_y
_atom_site_fract_z
Nb1 0.1827 0.6827 0.5000
Nb2 0.6827 0.8173 0.5000
Nb3 0.8173 0.3173 0.5000
Nb4 0.3173 0.1827 0.5000
Cl1 0.8758 0.6242 0.0000
Cl2 0.6242 0.1242 0.0000
Cl3 0.1242 0.3758 0.0000
Cl4 0.3758 0.8758 0.0000
Os1 0.5000 0.5000 0.0000
Os2 0.0000 0.0000 0.0000
```

*ii*
Here is Nb2OsCl2 after structural relaxation from the Alexandria database. Energies are from PBE.

Computed properties:
For the magnetization, the calculation gives 0.0 μB/f.u. The density of states at the Fermi level comes out at 0.407 states/eV/atom. As for the space-group type: I4/mmm, No. 139.

Structure (CIF):
```
data_Nb2OsCl2
_cell_length_a 4.9166
_cell_length_b 4.9166
_cell_length_c 4.9613
_cell_angle_alpha 60.30
_cell_angle_beta 60.30
_cell_angle_gamma 90.00
_space_group_name_H-M_alt 'P 1'
_space_group_IT_number 1
loop_
_space_group_symop_operation_xyz
'x,y,z'
loop_
_atom_site_label
_atom_site_fract_x
_atom_site_fract_y
_atom_site_fract_z
Nb1 0.7500 0.2500 0.5000
Nb2 0.2500 0.7500 0.5000
Cl1 0.6801 0.6801 0.6398
Cl2 0.3199 0.3199 0.3602
Os1 0.0000 0.0000 0.0000
```

In terms of stability, *ii* leads; the second structure lies 0.035 eV/atom higher.

*i*
Here is NbOsSCl2 after structural relaxation from the Alexandria database. Energies are from PBE.

Computed properties:
For the magnetization, the calculation gives 3.2 μB/f.u. The density of states at the Fermi level comes out at 1.380 states/eV/atom. As for the space-group type: P4/mmm, No. 123.

Structure (CIF):
```
data_NbOsSCl2
_cell_length_a 4.8705
_cell_length_b 4.8705
_cell_length_c 4.4848
_cell_angle_alpha 90.00
_cell_angle_beta 90.00
_cell_angle_gamma 90.00
_space_group_name_H-M_alt 'P 1'
_space_group_IT_number 1
loop_
_space_group_symop_operation_xyz
'x,y,z'
loop_
_atom_site_label
_atom_site_fract_x
_atom_site_fract_y
_atom_site_fract_z
S1 0.0000 0.0000 0.5000
Nb1 0.5000 0.5000 0.5000
Os1 0.0000 0.0000 0.0000
Cl1 0.0000 0.5000 0.0000
Cl2 0.5000 0.0000 0.0000
```

*ii*
Here is NbOsSCl2 after structural relaxation from the Alexandria database. Energies are from PBE.

Computed properties:
For the magnetization, the calculation gives 4.1 μB/f.u. The density of states at the Fermi level comes out at 1.337 states/eV/atom. As for the space-group type: P4/mmm, No. 123.

Structure (CIF):
```
data_NbOsSCl2
_cell_length_a 4.8995
_cell_length_b 4.8995
_cell_length_c 4.8290
_cell_angle_alpha 90.00
_cell_angle_beta 90.00
_cell_angle_gamma 90.00
_space_group_name_H-M_alt 'P 1'
_space_group_IT_number 1
loop_
_space_group_symop_operation_xyz
'x,y,z'
loop_
_atom_site_label
_atom_site_fract_x
_atom_site_fract_y
_atom_site_fract_z
Cl1 0.5000 0.0000 0.0000
Cl2 0.0000 0.5000 0.0000
S1 0.0000 0.0000 0.5000
Os1 0.5000 0.5000 0.5000
Nb1 0.0000 0.0000 0.0000
```

In terms of stability, *ii* leads; the second structure lies 0.013 eV/atom higher.

*i*
Here is NbPCl3 after structural relaxation from the Alexandria database. Energies are from PBE.

Computed properties:
For the magnetization, the calculation gives 3.8 μB/f.u. The density of states at the Fermi level comes out at 1.575 states/eV/atom. As for the space-group type: Pm-3m, No. 221.

Structure (CIF):
```
data_NbPCl3
_cell_length_a 4.8973
_cell_length_b 4.8973
_cell_length_c 4.8973
_cell_angle_alpha 90.00
_cell_angle_beta 90.00
_cell_angle_gamma 90.00
_space_group_name_H-M_alt 'P 1'
_space_group_IT_number 1
loop_
_space_group_symop_operation_xyz
'x,y,z'
loop_
_atom_site_label
_atom_site_fract_x
_atom_site_fract_y
_atom_site_fract_z
P1 0.0000 0.0000 0.0000
Cl1 0.0000 0.5000 0.0000
Cl2 0.0000 0.0000 0.5000
Cl3 0.5000 0.0000 0.0000
Nb1 0.5000 0.5000 0.5000
```

*ii*
Here is NbPCl3 after structural relaxation from the Alexandria database. Energies are from PBE.

Computed properties:
For the magnetization, the calculation gives 3.2 μB/f.u. The density of states at the Fermi level comes out at 0.585 states/eV/atom. As for the space-group type: Pm-3m, No. 221.

Structure (CIF):
```
data_NbPCl3
_cell_length_a 4.9488
_cell_length_b 4.9488
_cell_length_c 4.9488
_cell_angle_alpha 90.00
_cell_angle_beta 90.00
_cell_angle_gamma 90.00
_space_group_name_H-M_alt 'P 1'
_space_group_IT_number 1
loop_
_space_group_symop_operation_xyz
'x,y,z'
loop_
_atom_site_label
_atom_site_fract_x
_atom_site_fract_y
_atom_site_fract_z
Nb1 0.0000 0.0000 0.0000
Cl1 0.5000 0.0000 0.0000
Cl2 0.0000 0.5000 0.0000
Cl3 0.0000 0.0000 0.5000
P1 0.5000 0.5000 0.5000
```

In terms of stability, *ii* leads; the second structure lies 0.675 eV/atom higher.

*i*
Here is NbP2PbCl after structural relaxation from the Alexandria database. Energies are from PBE.

Computed properties:
For the magnetization, the calculation gives 0.0 μB/f.u. The density of states at the Fermi level comes out at 0.284 states/eV/atom. As for the space-group type: P4/mmm, No. 123.

Structure (CIF):
```
data_NbP2PbCl
_cell_length_a 5.0019
_cell_length_b 5.0019
_cell_length_c 5.0066
_cell_angle_alpha 90.00
_cell_angle_beta 90.00
_cell_angle_gamma 90.00
_space_group_name_H-M_alt 'P 1'
_space_group_IT_number 1
loop_
_space_group_symop_operation_xyz
'x,y,z'
loop_
_atom_site_label
_atom_site_fract_x
_atom_site_fract_y
_atom_site_fract_z
Pb1 0.5000 0.5000 0.5000
Cl1 0.0000 0.0000 0.5000
P1 0.0000 0.5000 0.0000
P2 0.5000 0.0000 0.0000
Nb1 0.0000 0.0000 0.0000
```

*ii*
Here is NbP2PbCl after structural relaxation from the Alexandria database. Energies are from PBE.

Computed properties:
For the magnetization, the calculation gives 2.1 μB/f.u. The density of states at the Fermi level comes out at 1.140 states/eV/atom. As for the space-group type: P4/mmm, No. 123.

Structure (CIF):
```
data_NbP2PbCl
_cell_length_a 5.1495
_cell_length_b 5.1495
_cell_length_c 5.1951
_cell_angle_alpha 90.00
_cell_angle_beta 90.00
_cell_angle_gamma 90.00
_space_group_name_H-M_alt 'P 1'
_space_group_IT_number 1
loop_
_space_group_symop_operation_xyz
'x,y,z'
loop_
_atom_site_label
_atom_site_fract_x
_atom_site_fract_y
_atom_site_fract_z
Cl1 0.0000 0.0000 0.5000
P1 0.5000 0.0000 0.0000
P2 0.0000 0.5000 0.0000
Pb1 0.0000 0.0000 0.0000
Nb1 0.5000 0.5000 0.5000
```

In terms of stability, *i* leads; the second structure lies 1.351 eV/atom higher.

*i*
Here is RbNbPCl2 after structural relaxation from the Alexandria database. Energies are from PBE.

Computed properties:
For the magnetization, the calculation gives 0.2 μB/f.u. The density of states at the Fermi level comes out at 0.329 states/eV/atom. As for the space-group type: P4/mmm, No. 123.

Structure (CIF):
```
data_RbNbPCl2
_cell_length_a 5.1256
_cell_length_b 5.1256
_cell_length_c 4.8592
_cell_angle_alpha 90.00
_cell_angle_beta 90.00
_cell_angle_gamma 90.00
_space_group_name_H-M_alt 'P 1'
_space_group_IT_number 1
loop_
_space_group_symop_operation_xyz
'x,y,z'
loop_
_atom_site_label
_atom_site_fract_x
_atom_site_fract_y
_atom_site_fract_z
Cl1 0.5000 0.0000 0.0000
Cl2 0.0000 0.5000 0.0000
Rb1 0.5000 0.5000 0.5000
Nb1 0.0000 0.0000 0.0000
P1 0.0000 0.0000 0.5000
```

*ii*
Here is RbNbPCl2 after structural relaxation from the Alexandria database. Energies are from PBE.

Computed properties:
For the magnetization, the calculation gives 1.0 μB/f.u. The density of states at the Fermi level comes out at 2.008 states/eV/atom. As for the space-group type: P4/mmm, No. 123.

Structure (CIF):
```
data_RbNbPCl2
_cell_length_a 5.7635
_cell_length_b 5.7635
_cell_length_c 6.0414
_cell_angle_alpha 90.00
_cell_angle_beta 90.00
_cell_angle_gamma 90.00
_space_group_name_H-M_alt 'P 1'
_space_group_IT_number 1
loop_
_space_group_symop_operation_xyz
'x,y,z'
loop_
_atom_site_label
_atom_site_fract_x
_atom_site_fract_y
_atom_site_fract_z
Cl1 0.0000 0.5000 0.0000
Cl2 0.5000 0.0000 0.0000
P1 0.0000 0.0000 0.5000
Rb1 0.0000 0.0000 0.0000
Nb1 0.5000 0.5000 0.5000
```

In terms of stability, *i* leads; the second structure lies 1.898 eV/atom higher.

*i*
Here is NbRePCl2 after structural relaxation from the Alexandria database. Energies are from PBE.

Computed properties:
For the magnetization, the calculation gives 5.6 μB/f.u. The density of states at the Fermi level comes out at 0.505 states/eV/atom. As for the space-group type: P4/mmm, No. 123.

Structure (CIF):
```
data_NbRePCl2
_cell_length_a 4.7954
_cell_length_b 4.7954
_cell_length_c 5.0847
_cell_angle_alpha 90.00
_cell_angle_beta 90.00
_cell_angle_gamma 90.00
_space_group_name_H-M_alt 'P 1'
_space_group_IT_number 1
loop_
_space_group_symop_operation_xyz
'x,y,z'
loop_
_atom_site_label
_atom_site_fract_x
_atom_site_fract_y
_atom_site_fract_z
Re1 0.5000 0.5000 0.5000
Cl1 0.0000 0.5000 0.0000
Cl2 0.5000 0.0000 0.0000
P1 0.0000 0.0000 0.5000
Nb1 0.0000 0.0000 0.0000
```

*ii*
Here is NbRePCl2 after structural relaxation from the Alexandria database. Energies are from PBE.

Computed properties:
For the magnetization, the calculation gives 4.2 μB/f.u. The density of states at the Fermi level comes out at 1.574 states/eV/atom. As for the space-group type: P4/mmm, No. 123.

Structure (CIF):
```
data_NbRePCl2
_cell_length_a 4.7846
_cell_length_b 4.7846
_cell_length_c 4.6710
_cell_angle_alpha 90.00
_cell_angle_beta 90.00
_cell_angle_gamma 90.00
_space_group_name_H-M_alt 'P 1'
_space_group_IT_number 1
loop_
_space_group_symop_operation_xyz
'x,y,z'
loop_
_atom_site_label
_atom_site_fract_x
_atom_site_fract_y
_atom_site_fract_z
P1 0.0000 0.0000 0.5000
Cl1 0.0000 0.5000 0.0000
Cl2 0.5000 0.0000 0.0000
Re1 0.0000 0.0000 0.0000
Nb1 0.5000 0.5000 0.5000
```

In terms of stability, *i* leads; the second structure lies 0.060 eV/atom higher.

*i*
Here is NbPRhCl2 after structural relaxation from the Alexandria database. Energies are from PBE.

Computed properties:
For the magnetization, the calculation gives 2.3 μB/f.u. The density of states at the Fermi level comes out at 0.944 states/eV/atom. As for the space-group type: P4/mmm, No. 123.

Structure (CIF):
```
data_NbPRhCl2
_cell_length_a 4.6582
_cell_length_b 4.6582
_cell_length_c 4.7375
_cell_angle_alpha 90.00
_cell_angle_beta 90.00
_cell_angle_gamma 90.00
_space_group_name_H-M_alt 'P 1'
_space_group_IT_number 1
loop_
_space_group_symop_operation_xyz
'x,y,z'
loop_
_atom_site_label
_atom_site_fract_x
_atom_site_fract_y
_atom_site_fract_z
Cl1 0.5000 0.0000 0.0000
Cl2 0.0000 0.5000 0.0000
Rh1 0.0000 0.0000 0.0000
P1 0.0000 0.0000 0.5000
Nb1 0.5000 0.5000 0.5000
```

*ii*
Here is NbPRhCl2 after structural relaxation from the Alexandria database. Energies are from PBE.

Computed properties:
For the magnetization, the calculation gives 1.7 μB/f.u. The density of states at the Fermi level comes out at 0.538 states/eV/atom. As for the space-group type: P4/mmm, No. 123.

Structure (CIF):
```
data_NbPRhCl2
_cell_length_a 4.7736
_cell_length_b 4.7736
_cell_length_c 5.0045
_cell_angle_alpha 90.00
_cell_angle_beta 90.00
_cell_angle_gamma 90.00
_space_group_name_H-M_alt 'P 1'
_space_group_IT_number 1
loop_
_space_group_symop_operation_xyz
'x,y,z'
loop_
_atom_site_label
_atom_site_fract_x
_atom_site_fract_y
_atom_site_fract_z
P1 0.0000 0.0000 0.5000
Cl1 0.0000 0.5000 0.0000
Cl2 0.5000 0.0000 0.0000
Rh1 0.5000 0.5000 0.5000
Nb1 0.0000 0.0000 0.0000
```

In terms of stability, *ii* leads; the second structure lies 0.199 eV/atom higher.